VASP calculation (SCAN) on CoRuRh2 at its PBEsol-relaxed geometry.

Results
* offset from the most stable computed form: 19.1 kJ per mole of atoms
* energy of formation from the pure elements: 281 meV/atom

Cell: 5.9447 5.9447 5.9447 Å, 90.00 90.00 90.00°
Space group Fm-3m (No. 225)
Symmetry-distinct sites (fractional):
Co: 0.0000 0.0000 0.0000 (multiplicity 4)
Ru: 0.0000 0.0000 0.5000 (multiplicity 4)
Rh: 0.2500 0.2500 0.2500 (multiplicity 8)

=====

VASP calculation (SCAN) on CoRuRh2 at its PBEsol-relaxed geometry.

Results
* offset from the most stable computed form: 17.2 kJ per mole of atoms
* energy of formation from the pure elements: 261 meV/atom

Cell: 4.4385 4.4385 2.6656 Å, 90.00 90.00 90.00°
Space group P4/mmm (No. 123)
Symmetry-distinct sites (fractional):
Co: 0.0000 0.0000 0.0000 (multiplicity 1)
Ru: 0.5000 0.5000 0.0000 (multiplicity 1)
Rh: 0.0000 0.5000 0.5000 (multiplicity 2)

=====

VASP calculation (SCAN) on CoRuRh2 at its PBEsol-relaxed geometry.

Results
* offset from the most stable computed form: 3.2 kJ per mole of atoms
* energy of formation from the pure elements: 116 meV/atom

Cell: 2.6312 3.6673 5.2438 Å, 90.00 90.00 90.00°
Space group Pmm2 (No. 25)
Symmetry-distinct sites (fractional):
Co: 0.0000 0.0000 0.0000 (multiplicity 1)
Ru: 0.5000 0.5000 0.7618 (multiplicity 1)
Rh: 0.0000 0.0000 0.5102 (multiplicity 1)
Rh: 0.5000 0.5000 0.2416 (multiplicity 1)

=====

VASP calculation (SCAN) on CoRuRh2 at its PBEsol-relaxed geometry.

Results
* offset from the most stable computed form: 2.2 kJ per mole of atoms
* energy of formation from the pure elements: 106 meV/atom

Cell: 8.6669 2.6311 4.5267 Å, 90.00 100.40 90.00°
Space group Cm (No. 8)
Symmetry-distinct sites (fractional):
Co: 0.0000 0.0000 0.0000 (multiplicity 2)
Ru: 0.2455 0.5000 0.2487 (multiplicity 2)
Rh: 0.2528 0.0000 0.7620 (multiplicity 2)
Rh: 0.4975 0.0000 0.4912 (multiplicity 2)

=====

VASP calculation (SCAN) on CoRu2Rh at its PBEsol-relaxed geometry.

Results
* offset from the most stable computed form: 0.0 kJ per mole of atoms
* energy of formation from the pure elements: 176 meV/atom

Cell: 3.6879 3.6879 7.3774 Å, 90.00 90.00 90.00°
Space group I-4m2 (No. 119)
Symmetry-distinct sites (fractional):
Co: 0.0000 0.0000 0.0000 (multiplicity 2)
Ru: 0.0000 0.0000 0.5000 (multiplicity 2)
Ru: 0.0000 0.5000 0.7500 (multiplicity 2)
Rh: 0.0000 0.5000 0.2500 (multiplicity 2)

=====

VASP calculation (SCAN) on CoRu2Rh at its PBEsol-relaxed geometry.

Results
* offset from the most stable computed form: 16.7 kJ per mole of atoms
* energy of formation from the pure elements: 350 meV/atom

Cell: 5.1565 8.8173 2.6025 Å, 90.00 117.67 90.00°
Space group C2/m (No. 12)
Symmetry-distinct sites (fractional):
Co: 0.0000 0.0000 0.0000 (multiplicity 2)
Ru: 0.2500 0.2500 0.5000 (multiplicity 4)
Rh: 0.0000 0.5000 0.0000 (multiplicity 2)

=====

VASP calculation (SCAN) on CoRuRh2 at its PBEsol-relaxed geometry.

Results
* offset from the most stable computed form: 1.4 kJ per mole of atoms
* energy of formation from the pure elements: 97 meV/atom

Cell: 3.6840 3.6840 7.4434 Å, 90.00 90.00 90.00°
Space group I4/mmm (No. 139)
Symmetry-distinct sites (fractional):
Co: 0.0000 0.0000 0.0000 (multiplicity 2)
Ru: 0.0000 0.0000 0.5000 (multiplicity 2)
Rh: 0.0000 0.5000 0.2500 (multiplicity 4)

=====

VASP calculation (SCAN) on CoRuRh2 at its PBEsol-relaxed geometry.

Results
* offset from the most stable computed form: 0.0 kJ per mole of atoms
* energy of formation from the pure elements: 83 meV/atom

Cell: 2.6365 3.6833 5.2196 Å, 90.00 90.00 90.00°
Space group Pmmm (No. 47)
Symmetry-distinct sites (fractional):
Co: 0.0000 0.0000 0.0000 (multiplicity 1)
Ru: 0.0000 0.0000 0.5000 (multiplicity 1)
Rh: 0.5000 0.5000 0.2450 (multiplicity 2)

=====

VASP calculation (SCAN) on CoRhS4 at its PBEsol-relaxed geometry.

Results
* DFT total energy: -15.44 eV/atom

Cell: 5.5373 5.5350 5.5308 Å, 90.00 90.10 90.00°
Space group P2_1/c (No. 14)
Symmetry-distinct sites (fractional):
Co: 0.0000 0.0000 0.0000 (multiplicity 2)
Rh: 0.5000 0.0000 0.5000 (multiplicity 2)
S: 0.1060 0.1180 0.3828 (multiplicity 4)
S: 0.3768 0.6101 0.3894 (multiplicity 4)

=====

VASP calculation (SCAN) on CoSbRh2 at its PBEsol-relaxed geometry.

Results
* DFT total energy: -30.58 eV/atom

Cell: 6.1165 6.1165 6.1165 Å, 90.00 90.00 90.00°
Space group F-43m (No. 216)
Symmetry-distinct sites (fractional):
Co: 0.0000 0.0000 0.0000 (multiplicity 4)
Sb: 0.2500 0.2500 0.7500 (multiplicity 4)
Rh: 0.0000 0.0000 0.5000 (multiplicity 4)
Rh: 0.2500 0.2500 0.2500 (multiplicity 4)

=====

VASP calculation (SCAN) on CoSbRh2 at its PBEsol-relaxed geometry.

Results
* DFT total energy: -30.79 eV/atom

Cell: 3.9368 3.9368 7.2854 Å, 90.00 90.00 90.00°
Space group I4/mmm (No. 139)
Symmetry-distinct sites (fractional):
Co: 0.0000 0.0000 0.0000 (multiplicity 2)
Sb: 0.0000 0.0000 0.5000 (multiplicity 2)
Rh: 0.0000 0.5000 0.2500 (multiplicity 4)

=====

VASP calculation (SCAN) on CoSbRh2 at its PBEsol-relaxed geometry.

Results
* DFT total energy: -30.50 eV/atom

Cell: 2.9085 3.6738 5.4350 Å, 90.00 90.00 90.00°
Space group Pmm2 (No. 25)
Symmetry-distinct sites (fractional):
Co: 0.0000 0.0000 0.0000 (multiplicity 1)
Sb: 0.5000 0.5000 0.7158 (multiplicity 1)
Rh: 0.0000 0.0000 0.4761 (multiplicity 1)
Rh: 0.5000 0.5000 0.1916 (multiplicity 1)

=====

> Which formula does entry 6 have?

CoRu2Rh